A plane-wave DFT calculation with GGA-PBE was carried out for a relaxed structure of TiAl2Ni2.

Properties
final energy = -58.57 eV/cell
DOS at the Fermi energy = 4.10 states/eV/f.u.
space group = P4/mbm, No. 127
ΔH_f (0 K) = -0.47 eV/atom
crystal system = tetragonal

a = 7.164 Å, b = 7.164 Å, c = 2.598 Å
α = 90.00°, β = 90.00°, γ = 90.00°
Atoms (fractional coordinates):
Al1 0.632 0.132 0.000
Al2 0.132 0.368 0.000
Al3 0.868 0.632 0.000
Al4 0.368 0.868 0.000
Ni1 0.836 0.336 0.500
Ni2 0.164 0.664 0.500
Ni3 0.664 0.836 0.500
Ni4 0.336 0.164 0.500
Ti1 0.000 0.000 0.000
Ti2 0.500 0.500 0.000

A plane-wave DFT calculation with GGA-PBE was carried out for a relaxed structure of TiAlNi4.

Properties
final energy = -37.19 eV/cell
DOS at the Fermi energy = 5.42 states/eV/f.u.
space group = F-43m, No. 216
ΔH_f (0 K) = -0.41 eV/atom
crystal system = cubic

a = 4.710 Å, b = 4.710 Å, c = 4.710 Å
α = 60.00°, β = 60.00°, γ = 60.00°
Atoms (fractional coordinates):
Ni1 0.625 0.125 0.625
Ni2 0.625 0.625 0.625
Ni3 0.125 0.625 0.625
Ni4 0.625 0.625 0.125
Al1 0.000 0.000 0.000
Ti1 0.250 0.250 0.250

A plane-wave DFT calculation with GGA-PBE was carried out for a relaxed structure of TiAl2Ni2.

Properties
final energy = -28.39 eV/cell
DOS at the Fermi energy = 5.36 states/eV/f.u.
space group = I4/mmm, No. 139
ΔH_f (0 K) = -0.29 eV/atom
crystal system = tetragonal

a = 3.662 Å, b = 3.662 Å, c = 5.960 Å
α = 72.11°, β = 72.11°, γ = 90.00°
Atoms (fractional coordinates):
Al1 0.750 0.250 0.500
Al2 0.250 0.750 0.500
Ni1 0.395 0.395 0.209
Ni2 0.605 0.605 0.791
Ti1 0.000 0.000 0.000

A plane-wave DFT calculation with GGA-PBE was carried out for a relaxed structure of Ti3Al2Ni3.

Properties
final energy = -51.33 eV/cell
DOS at the Fermi energy = 6.97 states/eV/f.u.
space group = Immm, No. 71
ΔH_f (0 K) = -0.35 eV/atom
crystal system = orthorhombic

a = 3.891 Å, b = 4.020 Å, c = 7.609 Å
α = 105.32°, β = 104.81°, γ = 90.00°
Each line ends with the local moment (μB).
Atoms (fractional coordinates):
Ni1 0.000 0.500 0.000  0.14
Ni2 0.138 0.138 0.276  0.05
Ni3 0.862 0.862 0.724  0.05
Ti1 0.615 0.615 0.231  0.37
Ti2 0.500 0.000 0.000  0.72
Ti3 0.385 0.385 0.769  0.37
Al1 0.747 0.247 0.494  0.00
Al2 0.253 0.753 0.506  0.00

A plane-wave DFT calculation with GGA-PBE was carried out for a relaxed structure of Ti2AlNi.

Properties
final energy = -26.78 eV/cell
DOS at the Fermi energy = 5.03 states/eV/f.u.
space group = P4/mmm, No. 123
ΔH_f (0 K) = -0.37 eV/atom
crystal system = tetragonal

a = 2.829 Å, b = 2.829 Å, c = 7.421 Å
α = 90.00°, β = 90.00°, γ = 90.00°
Atoms (fractional coordinates):
Al1 0.500 0.500 0.500
Ti1 0.000 0.000 0.228
Ti2 0.000 0.000 0.772
Ni1 0.500 0.500 0.000

A plane-wave DFT calculation with GGA-PBE was carried out for a relaxed structure of Ti2AlNi2.

Properties
final energy = -67.28 eV/cell
DOS at the Fermi energy = 3.46 states/eV/f.u.
space group = P4/mbm, No. 127
ΔH_f (0 K) = -0.51 eV/atom
crystal system = tetragonal

a = 6.784 Å, b = 6.784 Å, c = 3.062 Å
α = 90.00°, β = 90.00°, γ = 90.00°
Atoms (fractional coordinates):
Al1 0.500 0.500 0.000
Al2 0.000 0.000 0.000
Ti1 0.331 0.169 0.500
Ti2 0.169 0.669 0.500
Ti3 0.669 0.831 0.500
Ti4 0.831 0.331 0.500
Ni1 0.871 0.629 0.000
Ni2 0.371 0.871 0.000
Ni3 0.129 0.371 0.000
Ni4 0.629 0.129 0.000

A plane-wave DFT calculation with GGA-PBE was carried out for a relaxed structure of TiAl3Ni6.

Properties
final energy = -118.31 eV/cell
DOS at the Fermi energy = 6.10 states/eV/f.u.
space group = P2_1/m, No. 11
ΔH_f (0 K) = -0.53 eV/atom
crystal system = monoclinic

a = 3.882 Å, b = 7.476 Å, c = 8.403 Å
α = 98.52°, β = 90.00°, γ = 90.00°
Atoms (fractional coordinates):
Ni1 0.750 0.745 0.486
Ni2 0.750 0.157 0.712
Ni3 0.250 0.255 0.514
Ni4 0.250 0.455 0.102
Ni5 0.250 0.843 0.288
Ni6 0.250 0.060 0.912
Ni7 0.750 0.369 0.308
Ni8 0.250 0.154 0.214
Ni9 0.250 0.631 0.692
Ni10 0.750 0.846 0.786
Ni11 0.750 0.545 0.898
Ni12 0.750 0.940 0.088
Al1 0.250 0.347 0.809
Al2 0.750 0.451 0.603
Al3 0.750 0.653 0.191
Al4 0.250 0.753 0.979
Al5 0.250 0.549 0.397
Al6 0.750 0.247 0.021
Ti1 0.250 0.941 0.618
Ti2 0.750 0.059 0.382

A plane-wave DFT calculation with GGA-PBE was carried out for a relaxed structure of Ti4Al11Ni.

Properties
final energy = -84.90 eV/cell
DOS at the Fermi energy = 8.69 states/eV/f.u.
space group = P4mm, No. 99
ΔH_f (0 K) = -0.40 eV/atom
crystal system = tetragonal

a = 3.898 Å, b = 3.898 Å, c = 16.320 Å
α = 90.00°, β = 90.00°, γ = 90.00°
Each line ends with the local moment (μB).
Atoms (fractional coordinates):
Al1 0.000 0.500 0.240  0.00
Al2 0.500 0.000 0.009  0.01
Al3 0.000 0.000 0.366  0.00
Al4 0.000 0.500 0.753  0.00
Al5 0.500 0.000 0.240  0.00
Al6 0.000 0.500 0.498  0.00
Al7 0.000 0.500 0.009  0.01
Al8 0.000 0.000 0.625  0.00
Al9 0.500 0.500 0.880  0.00
Al10 0.500 0.000 0.498  0.00
Al11 0.500 0.000 0.753  0.00
Ti1 0.000 0.000 0.120  0.31
Ti2 0.500 0.500 0.619  0.00
Ti3 0.500 0.500 0.380  0.09
Ti4 0.000 0.000 0.888  -0.01
Ni1 0.500 0.500 0.122  0.28

A plane-wave DFT calculation with GGA-PBE was carried out for a relaxed structure of Ti2Al2Ni7.

Properties
final energy = -66.87 eV/cell
DOS at the Fermi energy = 9.90 states/eV/f.u.
space group = C2/m, No. 12
ΔH_f (0 K) = -0.28 eV/atom
crystal system = monoclinic

a = 6.845 Å, b = 4.167 Å, c = 6.845 Å
α = 120.83°, β = 112.45°, γ = 59.17°
Atoms (fractional coordinates):
Ni1 0.557 0.661 0.443
Ni2 0.387 0.796 0.960
Ni3 0.613 0.204 0.040
Ni4 0.000 0.000 0.000
Ni5 0.960 0.204 0.387
Ni6 0.040 0.796 0.613
Ni7 0.443 0.339 0.557
Ti1 0.214 0.500 0.214
Ti2 0.786 0.500 0.786
Al1 0.732 0.815 0.268
Al2 0.268 0.185 0.732

A plane-wave DFT calculation with GGA-PBE was carried out for a relaxed structure of TiAlNi6.

Properties
final energy = -50.10 eV/cell
DOS at the Fermi energy = 9.06 states/eV/f.u.
space group = P4/mmm, No. 123
ΔH_f (0 K) = -0.47 eV/atom
crystal system = tetragonal

a = 3.594 Å, b = 3.594 Å, c = 7.132 Å
α = 90.00°, β = 90.00°, γ = 90.00°
Atoms (fractional coordinates):
Ni1 0.500 0.500 0.500
Ni2 0.500 0.000 0.248
Ni3 0.000 0.500 0.248
Ni4 0.500 0.000 0.752
Ni5 0.000 0.500 0.752
Ni6 0.500 0.500 0.000
Al1 0.000 0.000 0.000
Ti1 0.000 0.000 0.500

A plane-wave DFT calculation with GGA-PBE was carried out for a relaxed structure of TiAlNi3.

Properties
final energy = -25.01 eV/cell
DOS at the Fermi energy = 4.08 states/eV/f.u.
space group = Pm-3m, No. 221
ΔH_f (0 K) = 0.79 eV/atom
crystal system = cubic

a = 4.312 Å, b = 4.312 Å, c = 4.312 Å
α = 90.00°, β = 90.00°, γ = 90.00°
Atoms (fractional coordinates):
Ti1 0.000 0.000 0.000
Ni1 0.000 0.500 0.000
Ni2 0.500 0.000 0.000
Ni3 0.000 0.000 0.500
Al1 0.500 0.500 0.500

A plane-wave DFT calculation with GGA-PBE was carried out for a relaxed structure of Ti2Al2Ni3.

Properties
final energy = -43.56 eV/cell
DOS at the Fermi energy = 4.96 states/eV/f.u.
space group = C2/m, No. 12
ΔH_f (0 K) = -0.42 eV/atom
crystal system = monoclinic

a = 4.078 Å, b = 4.073 Å, c = 7.309 Å
α = 89.97°, β = 106.28°, γ = 119.95°
Atoms (fractional coordinates):
Ni1 0.504 0.752 0.256
Ni2 0.000 0.000 0.000
Ni3 0.496 0.248 0.744
Ti1 0.751 0.876 0.627
Ti2 0.249 0.124 0.373
Al1 0.750 0.375 0.126
Al2 0.250 0.625 0.874